Computed, not measured: a relaxed Y2AlTeAs crystal at the PBE level of DFT.

Density of states at the Fermi level, states/eV/cell: 6.17
ρ, g/cm³: 4.194
Raw formation energy, eV/atom: 0.224
Space group: P4/mmm (123)

Cell lengths 5.664, 5.027, 5.664 Å; angles 90.00, 90.00, 90.00 degrees
Atoms (fractional coordinates):
Y (0.000, 0.000, 0.500)
Y (0.500, 0.000, 0.000)
Al (0.000, 0.500, 0.000)
As (0.500, 0.500, 0.500)
Te (0.000, 0.000, 0.000)

Computed, not measured: a relaxed LiNiN crystal at the PBE level of DFT.

Density of states at the Fermi level, states/eV/cell: 2.65
ρ, g/cm³: 4.471
Raw formation energy, eV/atom: -0.181
Space group: Pmn2_1 (31)

Cell lengths 2.717, 4.877, 4.465 Å; angles 90.00, 90.00, 90.00 degrees
Atoms (fractional coordinates):
N (0.000, 0.766, 0.371)
N (0.500, 0.234, 0.871)
Li (0.000, 0.415, 0.131)
Li (0.500, 0.585, 0.631)
Ni (0.500, 0.935, 0.157)
Ni (0.000, 0.065, 0.657)

Computed, not measured: a relaxed Hf5BeFe4 crystal at the PBE level of DFT.

Density of states at the Fermi level, states/eV/cell: 4.35
ρ, g/cm³: 12.142
Space group: P4/mmm (123)
Calculated formation energy, kJ/mol of atoms: -27

Cell lengths 3.141, 3.141, 15.596 Å; angles 90.00, 90.00, 90.00 degrees
Each line ends with the local moment (μB).
Atoms (fractional coordinates):
Hf (0.500, 0.500, 0.500)  0.03
Hf (0.500, 0.500, 0.701)  -0.04
Hf (0.500, 0.500, 0.900)  -0.07
Hf (0.500, 0.500, 0.299)  -0.04
Hf (0.500, 0.500, 0.100)  -0.07
Fe (0.000, 0.000, 0.399)  -0.12
Fe (0.000, 0.000, 0.802)  0.38
Fe (0.000, 0.000, 0.601)  -0.12
Fe (0.000, 0.000, 0.198)  0.38
Be (0.000, 0.000, 0.000)  -0.01